ThGa2Au3: optimized geometry, PBE.

Lattice parameters (Å, degrees): 8.433 8.433 6.798 105.75 105.75 31.71
Fractional positions:
Th 0.125 0.125 0.179
Th 0.875 0.875 0.821
Ga 0.224 0.224 0.677
Ga 0.489 0.489 0.194
Ga 0.511 0.511 0.806
Ga 0.776 0.776 0.323
Au 0.063 0.063 0.698
Au 0.312 0.312 0.062
Au 0.358 0.358 0.502
Au 0.642 0.642 0.498
Au 0.688 0.688 0.938
Au 0.937 0.937 0.302

Results
As for the total energy: -4.3868 eV per atom. The calculation puts the formation enthalpy at 0 K at -0.503 eV/atom. The total moment comes out at 0.00 Bohr magnetons per cell.